--- w ---
5
Lattice="3.706 0.000 0.000 0.000 3.706 0.000 0.000 0.000 5.531" Properties=species:S:1:pos:R:3 comment="PBE AlPdSeN2, optimized geometry" magmom_total_mub_per_cell=2.1 space_group="No. 123" pbc="T T T"
Al 0.000 0.000 0.000
Pd 1.853 1.853 2.766
Se 0.000 0.000 2.766
N 0.000 1.853 0.000
N 1.853 0.000 0.000

--- x ---
5
Lattice="3.952 0.000 0.000 0.000 3.952 0.000 0.000 0.000 5.416" Properties=species:S:1:pos:R:3 comment="PBE AlPdSeN2, optimized geometry" magmom_total_mub_per_cell=3.1 space_group="No. 123" pbc="T T T"
Al 0.000 0.000 0.000
Pd 1.976 1.976 2.708
Se 1.976 1.976 0.000
N 0.000 1.976 2.708
N 1.976 0.000 2.708

Relative calculated energies, zero for the most stable structure, unit meV per atom: w 0; x 498.